# 1
VASP calculation (PBE) on a geometry-optimized KBeTl structure.

extended XYZ file:
```
3
Lattice="-3.9269 3.7034 -0.2517 -5.0422 -1.3066 1.4378 -2.1180 2.0055 4.5487" Properties=species:S:1:pos:R:3 pbc="T T T"
Be -5.5436 2.2012 2.8674
Tl 0.0000 0.0000 0.0000
K -8.3154 3.3017 4.3011
```

**Total DFT energy (no corrections)**: -1.3178 eV/atom
**Polymorph energy (0 for the lowest one)**: 1.96 eV per formula unit


# 2
VASP calculation (PBE) on a geometry-optimized K2BeTl structure.

extended XYZ file:
```
4
Lattice="-3.3535 -4.1736 -1.0353 -0.3782 0.3514 5.4287 -3.6961 3.0832 -0.4571" Properties=species:S:1:pos:R:3 pbc="T T T"
Be -2.0372 1.7173 2.4858
Tl -3.5248 -0.5452 -0.7462
K 0.0000 0.0000 0.0000
K -1.8659 -1.9111 2.1967
```

**Total DFT energy (no corrections)**: -1.4720 eV/atom
**Polymorph energy (0 for the lowest one)**: 1.36 eV per formula unit


# 3
VASP calculation (PBE) on a geometry-optimized KBeTl2 structure.

extended XYZ file:
```
4
Lattice="-1.1445 2.3845 3.8873 -1.2887 -3.4295 1.7243 5.5691 -2.7988 3.3564" Properties=species:S:1:pos:R:3 pbc="T T T"
Be 1.4028 -2.2950 1.8208
Tl 0.3784 -0.2934 0.2914
Tl 0.7440 -1.0998 3.7371
K 2.7509 -3.2699 5.6591
```

**Total DFT energy (no corrections)**: -2.0641 eV/atom
**Polymorph energy (0 for the lowest one)**: 0.34 eV per formula unit


# 4
VASP calculation (PBE) on a geometry-optimized K3BeTl structure.

extended XYZ file:
```
5
Lattice="-4.8311 -2.4656 -3.2863 4.1018 -2.6078 -4.0735 0.2324 -5.2287 3.5813" Properties=species:S:1:pos:R:3 pbc="T T T"
Be 0.0000 0.0000 0.0000
Tl -0.2485 -5.1510 -1.8892
K 2.0509 -1.3039 -2.0367
K 0.1162 -2.6143 1.7906
K -2.4156 -1.2328 -1.6431
```

**Total DFT energy (no corrections)**: -1.2950 eV/atom
**Polymorph energy (0 for the lowest one)**: 0.00 eV per formula unit


# 5
VASP calculation (PBE) on a geometry-optimized K2BeTl structure.

extended XYZ file:
```
4
Lattice="-3.2478 -3.3151 4.5654 -1.1006 -5.9287 -2.4536 5.0844 3.8152 1.4052" Properties=species:S:1:pos:R:3 pbc="T T T"
Be 0.3940 -4.4537 0.2518
Tl -1.7296 -3.6767 0.8399
K -0.1158 -0.2462 0.0562
K 0.0132 -1.6740 3.4248
```

**Total DFT energy (no corrections)**: -1.7816 eV/atom
**Polymorph energy (0 for the lowest one)**: 0.13 eV per formula unit


# 6
VASP calculation (PBE) on a geometry-optimized KBeTl2 structure.

extended XYZ file:
```
4
Lattice="-1.1764 0.9329 -3.2110 -1.7339 -2.9870 -0.2326 -6.9186 3.7343 3.6195" Properties=species:S:1:pos:R:3 pbc="T T T"
Be -3.1848 -0.0935 -0.8169
Tl -0.4395 0.2372 0.2299
Tl -3.0198 1.6299 1.5798
K -6.6441 1.7737 0.9928
```

**Total DFT energy (no corrections)**: -2.0733 eV/atom
**Polymorph energy (0 for the lowest one)**: 0.30 eV per formula unit


no.,spin magnetization (μB per atom)
1,0.00
2,0.00
3,0.00
4,0.00
5,0.00
6,0.00